A geometry-optimized Na2Cd2Pt structure. Source: Alexandria via LeMat-Bulk, functional PBE-GGA.

Values from the calculation:
ΔH_f (0 K) in eV per atom: -0.113
Raw total energy in eV for the cell shown: -22.15
Crystal system: tetragonal
Energy above the lowest structure with this stoichiometry in kJ per mole of atoms: 6.53
SG: No. 141

Lattice parameters (Å, degrees): 4.6861 4.6861 12.0423 101.22 101.22 90.00
Sites, in units of the cell vectors:
Na 0.8232 0.8232 0.6465
Na 0.5732 0.0732 0.1465
Na 0.9268 0.4268 0.8535
Na 0.1768 0.1768 0.3535
Cd 0.4370 0.9370 0.8739
Cd 0.6870 0.6870 0.3739
Cd 0.3130 0.3130 0.6261
Cd 0.0630 0.5630 0.1261
Pt 0.5000 0.5000 0.0000
Pt 0.2500 0.7500 0.5000